No. 1
Material: SmH2ClO2
Method: DFT, PBE
State: optimized geometry Values from VASP.

Calculated values
- Theoretical density: 4.7 Mg/m³
- Final energy: -5.95 eV/atom
- Total magnetization: 0.000 μB per formula unit
- Space-group type: Pnma, No. 62
- Density of states at the Fermi level: 0.000 states/eV/atom

Cell and atoms, written as Quantum ESPRESSO input:
```
&SYSTEM
  ibrav = 0, nat = 24, ntyp = 4
/
ATOMIC_SPECIES
Sm 150.36 Sm.upf
H 1.01 H.upf
Cl 35.45 Cl.upf
O 16.00 O.upf
ATOMIC_POSITIONS angstrom
Sm -1.499 2.875 0.701
Sm 2.117 4.855 5.292
Sm 3.414 6.769 2.043
Sm 7.030 8.749 6.633
H -1.951 3.734 3.478
H -1.195 2.788 5.718
H 0.876 5.309 2.666
H 2.829 3.894 1.852
H 2.702 7.730 5.482
H 4.656 6.315 4.669
H 6.726 8.836 1.617
H 7.483 7.890 3.856
Cl 0.739 2.786 2.587
Cl -0.783 5.204 5.095
Cl 6.314 6.420 2.240
Cl 4.793 8.838 4.747
O -2.495 3.133 2.925
O 0.295 1.365 -0.081
O 1.468 5.916 3.156
O 3.661 4.382 1.671
O 1.871 7.242 5.664
O 4.064 5.708 4.179
O 5.236 10.259 7.416
O 8.026 8.490 4.409
CELL_PARAMETERS angstrom
-1.988 2.932 -1.230
-2.316 0.908 5.905
9.835 7.784 2.661
```

---

No. 2
Material: SnHClO
Method: DFT, PBE
State: optimized geometry Values from VASP.

Calculated values
- Theoretical density: 3.6 Mg/m³
- Final energy: -4.56 eV/atom
- Total magnetization: 0.000 μB per formula unit
- Space-group type: P1, No. 1
- Density of states at the Fermi level: 0.000 states/eV/atom

Cell and atoms, written as Quantum ESPRESSO input:
```
&SYSTEM
  ibrav = 0, nat = 4, ntyp = 4
/
ATOMIC_SPECIES
Sn 118.71 Sn.upf
H 1.01 H.upf
Cl 35.45 Cl.upf
O 16.00 O.upf
ATOMIC_POSITIONS angstrom
Sn 1.962 -4.152 4.948
H -0.006 -3.156 2.360
Cl -2.001 -2.556 0.164
O 0.114 -4.116 2.179
CELL_PARAMETERS angstrom
0.024 0.275 4.078
-3.614 -0.771 -3.949
2.635 -4.861 1.990
```

---

No. 3
Material: SnH10Cl4O5
Method: DFT, PBE
State: optimized geometry Values from VASP.

Calculated values
- Theoretical density: 2.2 Mg/m³
- Final energy: -4.53 eV/atom
- Total magnetization: 0.000 μB per formula unit
- Space-group type: C2/c, No. 15
- Density of states at the Fermi level: 0.000 states/eV/atom

Cell and atoms, written as Quantum ESPRESSO input:
```
&SYSTEM
  ibrav = 0, nat = 40, ntyp = 4
/
ATOMIC_SPECIES
Sn 118.71 Sn.upf
H 1.01 H.upf
Cl 35.45 Cl.upf
O 16.00 O.upf
ATOMIC_POSITIONS angstrom
Sn -7.657 -7.230 -0.144
Sn -7.606 -0.720 0.611
H -11.547 -4.944 1.435
H -8.900 -3.716 -2.882
H -10.328 -4.611 2.376
H -9.514 -5.267 0.469
H -8.640 -4.662 -0.852
H -7.391 -3.972 -2.507
H -7.889 -1.959 -1.851
H -9.699 -2.580 3.239
H -9.660 -3.652 4.375
H -10.889 -6.700 2.688
H -4.375 -1.250 -2.222
H -5.604 -4.298 -3.908
H -5.565 -5.370 -2.772
H -7.374 -5.991 2.318
H -7.872 -3.979 2.974
H -6.624 -3.288 1.318
H -5.749 -2.683 -0.002
H -4.936 -3.339 -1.909
H -6.364 -4.234 3.348
H -3.717 -3.006 -0.969
Cl -14.083 -6.736 1.241
Cl -11.768 -4.832 -2.427
Cl -9.852 -8.269 0.042
Cl -9.702 -1.962 0.603
Cl -5.561 -5.989 -0.137
Cl -5.411 0.319 0.424
Cl -3.495 -3.119 2.893
Cl -1.181 -1.214 -0.775
O -10.677 -5.298 1.735
O -8.254 -3.614 -2.144
O -8.672 -5.315 -0.082
O -9.481 -3.520 3.419
O -7.497 -1.091 -1.523
O -7.766 -6.859 1.989
O -5.783 -4.431 -2.953
O -6.592 -2.636 0.549
O -7.009 -4.336 2.610
O -4.587 -2.652 -1.268
CELL_PARAMETERS angstrom
-7.604 2.582 1.034
-4.282 -4.176 -5.457
-3.377 -6.356 4.889
```

---

No. 4
Material: SnH6Cl4O3
Method: DFT, PBE
State: optimized geometry Values from VASP.

Calculated values
- Theoretical density: 2.3 Mg/m³
- Final energy: -4.34 eV/atom
- Total magnetization: 0.001 μB per formula unit
- Space-group type: P2_1/c, No. 14
- Density of states at the Fermi level: 0.000 states/eV/atom

Cell and atoms, written as Quantum ESPRESSO input:
```
&SYSTEM
  ibrav = 0, nat = 56, ntyp = 4
/
ATOMIC_SPECIES
Sn 118.71 Sn.upf
H 1.01 H.upf
Cl 35.45 Cl.upf
O 16.00 O.upf
ATOMIC_POSITIONS angstrom
Sn 3.913 -6.402 -4.975
Sn -1.736 -5.844 -1.997
Sn -2.456 -11.101 1.093
Sn 3.193 -11.659 -1.886
H 3.186 -9.049 -5.821
H 0.692 -4.387 -2.479
H -1.729 -8.454 1.939
H 0.765 -13.117 -1.403
H 4.821 -8.897 -5.928
H 0.593 -5.614 -3.571
H -3.364 -8.606 2.046
H 0.863 -11.890 -0.312
H 2.916 -15.244 -0.583
H -1.022 -8.325 -1.113
H -1.459 -2.259 -3.300
H 2.479 -9.178 -2.770
H 1.393 -15.544 -0.978
H -0.458 -7.356 0.030
H 0.064 -1.960 -2.904
H 1.914 -10.148 -3.913
H 0.235 -14.776 -2.792
H 0.434 -7.937 2.052
H 1.222 -2.728 -1.091
H 1.023 -9.566 -5.935
H -0.671 -14.911 -1.534
H -0.369 -6.607 2.128
H 2.128 -2.593 -2.349
H 1.826 -10.897 -6.011
Cl 3.738 -4.073 -4.290
Cl -3.790 -6.615 -0.942
Cl -2.281 -13.430 0.408
Cl 5.247 -10.889 -2.940
Cl 1.538 -6.534 -5.428
Cl -1.201 -4.426 -0.109
Cl -0.081 -10.970 1.545
Cl 2.658 -13.077 -3.774
Cl 3.583 -7.302 -2.703
Cl -2.812 -3.962 -3.173
Cl -2.126 -10.201 -1.180
Cl 4.269 -13.542 -0.709
Cl 6.278 -6.514 -4.921
Cl -1.813 -7.333 -3.838
Cl -4.822 -10.990 1.038
Cl 3.270 -10.170 -0.045
O 3.964 -8.409 -5.868
O 0.264 -5.271 -2.705
O -2.507 -9.094 1.986
O 1.193 -12.232 -1.178
O 4.155 -5.772 -7.082
O -0.600 -7.438 -0.966
O -2.698 -11.731 3.199
O 2.057 -10.066 -2.917
O 0.238 -14.652 -1.811
O -0.378 -7.495 1.703
O 1.219 -2.851 -2.071
O 1.835 -10.009 -5.586
CELL_PARAMETERS angstrom
-4.556 -1.778 -4.245
7.972 -5.575 -6.222
-1.959 -10.150 6.585
```

---

No. 5
Material: SnH7Cl3O4
Method: DFT, PBE
State: optimized geometry Values from VASP.

Calculated values
- Theoretical density: 2.4 Mg/m³
- Final energy: -4.59 eV/atom
- Total magnetization: 0.000 μB per formula unit
- Space-group type: P2_1/c, No. 14
- Density of states at the Fermi level: 0.000 states/eV/atom

Cell and atoms, written as Quantum ESPRESSO input:
```
&SYSTEM
  ibrav = 0, nat = 60, ntyp = 4
/
ATOMIC_SPECIES
Sn 118.71 Sn.upf
H 1.01 H.upf
Cl 35.45 Cl.upf
O 16.00 O.upf
ATOMIC_POSITIONS angstrom
Sn 8.586 9.481 5.374
Sn 1.656 5.007 4.685
Sn 0.359 -1.893 6.791
Sn 7.289 2.581 7.480
H 5.222 8.580 8.485
H -0.821 4.351 5.849
H 3.722 -0.991 3.680
H 9.765 3.237 6.316
H 7.280 7.115 4.637
H 0.466 2.674 3.693
H 1.665 0.473 7.528
H 8.478 4.914 8.473
H 6.632 7.576 6.084
H 1.073 3.481 2.387
H 2.312 0.012 6.081
H 7.872 4.107 9.778
H 4.522 7.628 6.572
H 8.743 0.115 4.015
H 4.423 -0.040 5.593
H 0.201 7.473 8.150
H 5.145 6.668 7.632
H -1.328 2.321 5.939
H 3.800 0.920 4.533
H 10.272 5.267 6.226
H 4.749 4.664 8.932
H -0.433 0.674 4.407
H 4.196 2.924 3.233
H 9.378 6.914 7.758
H 3.471 5.549 8.759
H 7.216 -2.096 7.246
H 5.474 2.039 3.406
H 1.728 9.685 4.919
Cl 4.297 -1.212 8.301
Cl 2.245 6.902 6.097
Cl 4.647 8.800 3.864
Cl 6.699 0.686 6.068
Cl 6.011 -2.886 4.924
Cl 3.675 5.148 3.342
Cl 2.934 10.474 7.241
Cl 5.269 2.440 8.823
Cl 7.707 7.361 10.443
Cl 2.393 3.334 6.207
Cl 1.238 0.227 1.722
Cl 6.552 4.254 5.958
O 5.100 9.159 9.296
O -0.352 5.094 5.363
O 3.845 -1.571 2.870
O 9.297 2.494 6.802
O 7.449 7.614 5.493
O 1.169 3.320 3.378
O 1.495 -0.026 6.672
O 7.776 4.268 8.787
O 5.320 7.512 7.135
O -1.662 3.024 6.559
O 3.625 0.076 5.030
O 10.606 4.564 5.606
O 4.430 5.599 8.951
O -0.718 1.618 4.350
O 4.515 1.989 3.215
O 9.662 5.970 7.815
CELL_PARAMETERS angstrom
-2.657 -0.734 5.830
8.706 -3.716 3.499
2.896 12.039 2.836
```

---

No. 6
Material: Sn21H14Cl16O20
Method: DFT, PBE
State: optimized geometry Values from VASP.

Calculated values
- Theoretical density: 4.1 Mg/m³
- Final energy: -4.79 eV/atom
- Total magnetization: 0.000 μB per formula unit
- Space-group type: R32, No. 155
- Density of states at the Fermi level: 0.000 states/eV/atom

Cell and atoms, written as Quantum ESPRESSO input:
```
&SYSTEM
  ibrav = 0, nat = 71, ntyp = 4
/
ATOMIC_SPECIES
Sn 118.71 Sn.upf
H 1.01 H.upf
Cl 35.45 Cl.upf
O 16.00 O.upf
ATOMIC_POSITIONS angstrom
Sn 5.184 2.993 1.312
Sn 15.551 8.978 13.421
Sn 5.184 2.993 11.761
Sn 15.551 8.978 2.973
Sn 10.367 5.986 3.385
Sn 10.367 5.986 11.349
Sn 3.739 6.476 0.000
Sn 8.922 2.503 0.000
Sn 2.890 0.000 0.000
Sn 6.547 5.396 4.187
Sn 11.767 9.589 4.187
Sn 12.788 2.972 4.187
Sn 11.767 2.382 10.547
Sn 12.788 9.000 10.547
Sn 6.547 6.575 10.547
Sn 9.584 1.943 5.734
Sn 7.258 8.685 5.734
Sn 14.260 7.329 5.734
Sn 7.258 3.286 8.999
Sn 14.260 4.643 8.999
Sn 9.584 10.028 8.999
H 5.184 2.993 6.974
H 15.551 8.978 7.760
H 10.400 7.834 0.620
H 11.952 5.033 0.620
H 8.751 5.089 0.620
H 11.952 6.938 14.114
H 8.751 6.882 14.114
H 10.400 4.137 14.114
H 11.052 7.363 5.639
H 11.218 4.704 5.639
H 8.832 5.890 5.639
H 11.218 7.267 9.095
H 8.832 6.081 9.095
H 11.052 4.608 9.095
Cl 10.367 5.986 7.367
Cl 12.315 9.360 7.367
Cl 12.315 2.612 7.367
Cl 6.471 5.986 7.367
Cl 11.999 3.018 1.755
Cl 6.981 6.057 1.755
Cl 12.122 8.883 1.755
Cl 6.981 5.914 12.979
Cl 12.122 3.089 12.979
Cl 11.999 8.954 12.979
Cl 8.570 2.882 2.927
Cl 8.578 9.093 2.927
Cl 13.953 5.981 2.927
Cl 8.578 2.878 11.806
Cl 13.953 5.990 11.806
Cl 8.570 9.089 11.806
O 5.184 2.993 7.950
O 15.551 8.978 6.784
O 5.860 4.472 10.186
O 11.310 10.646 10.186
O 13.932 2.839 10.186
O 11.310 1.325 4.547
O 13.932 9.132 4.547
O 5.860 7.499 4.547
O 11.356 7.483 4.704
O 11.170 4.381 4.704
O 8.576 6.093 4.704
O 11.170 7.590 10.029
O 8.576 5.878 10.029
O 11.356 4.488 10.029
O 9.649 4.463 14.665
O 9.408 7.369 14.665
O 12.045 6.125 14.665
O 9.408 4.602 0.068
O 12.045 5.847 0.068
O 9.649 7.508 0.068
CELL_PARAMETERS angstrom
10.367 0.000 0.000
5.184 8.978 0.000
5.184 2.993 14.734
```

---

No. 7
Material: SrSn2H10Cl6O5
Method: DFT, PBE
State: optimized geometry Values from VASP.

Calculated values
- Theoretical density: 2.7 Mg/m³
- Final energy: -4.52 eV/atom
- Total magnetization: 0.000 μB per formula unit
- Space-group type: C2/c, No. 15
- Density of states at the Fermi level: 0.000 states/eV/atom

Cell and atoms, written as Quantum ESPRESSO input:
```
&SYSTEM
  ibrav = 0, nat = 48, ntyp = 5
/
ATOMIC_SPECIES
Sr 87.62 Sr.upf
Sn 118.71 Sn.upf
H 1.01 H.upf
Cl 35.45 Cl.upf
O 16.00 O.upf
ATOMIC_POSITIONS angstrom
Sr -1.507 5.066 9.341
Sr 10.015 -0.447 9.471
Sn 6.017 6.079 9.395
Sn 3.706 3.272 11.693
Sn 2.491 -1.459 9.417
Sn 4.802 1.348 7.119
H 1.901 -0.741 3.435
H 5.335 0.687 13.114
H 6.608 5.360 15.378
H 3.173 3.933 5.699
H 3.091 0.277 3.566
H 4.294 -0.480 12.951
H 5.417 4.343 15.246
H 4.214 5.099 5.861
H 6.851 -0.849 9.481
H 4.125 -2.923 6.288
H 1.657 5.468 9.331
H 4.383 7.542 12.524
H 1.879 2.737 3.787
H 1.860 0.685 13.490
H 6.629 1.883 15.026
H 6.648 3.935 5.322
H 0.678 2.697 9.648
H 0.715 3.056 8.116
H 7.831 1.922 9.164
H 7.793 1.564 10.696
Cl 1.419 2.523 6.051
Cl 1.612 1.602 11.373
Cl 7.089 2.097 12.761
Cl 6.896 3.018 7.440
Cl 5.690 5.654 11.967
Cl 3.599 4.128 9.212
Cl 2.819 -1.035 6.845
Cl 4.909 0.491 9.601
Cl 4.118 7.926 9.569
Cl 1.891 5.115 12.292
Cl 4.390 -3.307 9.243
Cl 6.617 -0.496 6.520
O 2.170 0.182 3.233
O 4.469 0.356 13.440
O 6.338 4.438 15.580
O 4.039 4.263 5.372
O 7.473 -1.611 9.553
O 4.847 -3.496 5.936
O 1.035 6.231 9.259
O 3.661 8.115 12.876
O 0.282 3.288 8.969
O 8.226 1.332 9.844
CELL_PARAMETERS angstrom
-3.196 3.775 8.428
5.374 -4.741 6.644
6.330 5.586 3.740
```

---

No. 8
Material: SrH2Cl2O
Method: DFT, PBE
State: optimized geometry Values from VASP.

Calculated values
- Theoretical density: 2.4 Mg/m³
- Final energy: -4.35 eV/atom
- Total magnetization: 0.000 μB per formula unit
- Distance to the lowest polymorph of the same formula: 1.539 eV per formula unit
- Space-group type: Pnma, No. 62
- Density of states at the Fermi level: 0.000 states/eV/atom

Cell and atoms, written as Quantum ESPRESSO input:
```
&SYSTEM
  ibrav = 0, nat = 24, ntyp = 4
/
ATOMIC_SPECIES
Sr 87.62 Sr.upf
H 1.01 H.upf
Cl 35.45 Cl.upf
O 16.00 O.upf
ATOMIC_POSITIONS angstrom
Sr 1.062 1.566 0.369
Sr 1.062 6.922 4.954
Sr 3.185 9.146 10.276
Sr 3.185 3.790 5.691
H 3.185 6.504 6.981
H 3.185 1.148 8.987
H 1.062 4.208 3.664
H 1.062 9.564 1.658
H 3.185 5.711 1.779
H 3.185 0.355 3.543
H 1.062 5.001 8.866
H 1.062 10.357 7.102
Cl 3.185 1.544 2.982
Cl 3.185 6.900 2.340
Cl 1.062 9.168 7.662
Cl 1.062 3.812 8.305
Cl 3.185 1.200 6.813
Cl 3.185 6.556 9.155
Cl 1.062 9.512 3.832
Cl 1.062 4.156 1.490
O 3.185 0.937 9.954
O 3.185 6.293 6.014
O 1.062 9.775 0.691
O 1.062 4.419 4.631
CELL_PARAMETERS angstrom
4.247 0.000 0.000
0.000 10.712 0.000
0.000 0.000 10.645
```